Computed, not measured: a relaxed structure of Cr2BiO at the GGA+U level of DFT.

a b c (Å): 4.659 4.659 4.659
angles (deg): 60.00 60.00 60.00
Fractional positions:
Bi 0.500 0.500 0.500
Cr 0.750 0.750 0.750
Cr 0.250 0.250 0.250
O 0.000 0.000 0.000

Summary:
symmetry	Fm-3m
energy above the most stable polymorph in this dataset	0.8066	eV per atom
theoretical density	7.64	g cm⁻³